A relaxed structure of Li4Zn3Ag4. Source: Alexandria via LeMat-Bulk, functional GGA-PBE.

- M_tot: 0.000 μB per atom
- D(E_F): 0.2737 states/eV per atom
- ΔE_f: -0.16 eV per atom
- ρ: 6.2 g cm⁻³

abc: 2.9772 4.8736 13.8057
angles: 66.67 96.39 108.20
Atoms (fractional coordinates):
Li1 0.4558 0.0947 0.8146
Li2 0.3658 0.2849 0.4500
Li3 0.6343 0.7152 0.5500
Li4 0.5442 0.9053 0.1854
Zn1 0.1820 0.6403 0.7232
Zn2 0.8180 0.3597 0.2768
Zn3 0.0000 0.0000 0.0000
Ag1 0.7217 0.5416 0.9034
Ag2 0.2783 0.4584 0.0966
Ag3 0.0919 0.8204 0.3641
Ag4 0.9081 0.1797 0.6359